No. 1
VASP calculation (PBE) on a relaxed structure of MgCdPd4.

Output
The density of states at the Fermi level comes out at 2.4 states/eV per cell. As for the symmetry: C2/m, No. 12. The calculation puts the polymorph energy (0 for the lowest one) at 108.3 meV/atom. Its energy of formation from the pure elements is -0.3063 eV/atom. Its calculated total energy is -4.186 eV/atom. The calculation puts the calculated volume at 17.0 Å³/atom.

abc: 2.8592 4.6938 8.1222
angles: 84.07 79.86 72.27
Fractional positions:
Mg1 0.0000 0.0000 0.0000
Cd1 0.5000 0.5000 0.5000
Pd1 0.6531 0.5458 0.1480
Pd2 0.3469 0.4542 0.8520
Pd3 0.1534 0.0323 0.6610
Pd4 0.8466 0.9677 0.3390

No. 2
VASP calculation (PBE) on a relaxed structure of Mg5Cd2Pd.

Output
The density of states at the Fermi level comes out at 1.4 states/eV per cell. As for the symmetry: I4/mmm, No. 139. The calculation puts the polymorph energy (0 for the lowest one) at 0.0 meV/atom. Its energy of formation from the pure elements is -0.2301 eV/atom. Its calculated total energy is -2.105 eV/atom. The calculation puts the calculated volume at 19.8 Å³/atom.

abc: 4.7058 4.7058 7.8811
angles: 107.37 107.37 90.00
Fractional positions:
Mg1 0.5000 0.5000 0.0000
Mg2 0.8821 0.3821 0.7642
Mg3 0.3821 0.8821 0.7642
Mg4 0.1179 0.6179 0.2358
Mg5 0.6179 0.1179 0.2358
Cd1 0.7486 0.7486 0.4973
Cd2 0.2514 0.2514 0.5027
Pd1 0.0000 0.0000 0.0000

> Which of these has the lowest polymorph energy (0 for the lowest one)?

Mg5Cd2Pd

> Among the records above, which one has the highest polymorph energy (0 for the lowest one)?

MgCdPd4

> Which of these has the lowest energy of formation from the pure elements?

MgCdPd4

Please write out number 1 again, unchanged.
VASP calculation (PBE) on a relaxed structure of MgCdPd4.

Output
The density of states at the Fermi level comes out at 2.4 states/eV per cell. As for the symmetry: C2/m, No. 12. The calculation puts the polymorph energy (0 for the lowest one) at 108.3 meV/atom. Its energy of formation from the pure elements is -0.3063 eV/atom. Its calculated total energy is -4.186 eV/atom. The calculation puts the calculated volume at 17.0 Å³/atom.

abc: 2.8592 4.6938 8.1222
angles: 84.07 79.86 72.27
Fractional positions:
Mg1 0.0000 0.0000 0.0000
Cd1 0.5000 0.5000 0.5000
Pd1 0.6531 0.5458 0.1480
Pd2 0.3469 0.4542 0.8520
Pd3 0.1534 0.0323 0.6610
Pd4 0.8466 0.9677 0.3390